Record 1
First-principles (meta-GGA SCAN) data for KLaMo2 at its PBEsol-relaxed geometry, as listed in Alexandria via LeMat-Bulk.

The structure in POSCAR format:
```
KLaMo2
1.0
3.2456 0.0000 0.0000
0.0000 3.2456 0.0000
0.0000 0.0000 10.0771
K La Mo
1 1 2
Cartesian
0.0000 0.0000 0.0000
1.6228 1.6228 3.8716
0.0000 0.0000 6.0164
1.6228 1.6228 7.2226
```

Output
Calculated formation energy in meV per atom: 617
Symmetry: No. 99

Record 2
First-principles (meta-GGA SCAN) data for KLaTaMo2 at its PBEsol-relaxed geometry, as listed in Alexandria via LeMat-Bulk.

The structure in POSCAR format:
```
KLaTaMo2
1.0
4.5554 0.0000 0.0000
0.0000 4.5554 0.0000
0.0000 0.0000 5.0224
K La Ta Mo
1 1 1 2
Cartesian
0.0000 0.0000 0.0000
0.0000 0.0000 2.5112
2.2777 2.2777 2.5112
0.0000 2.2777 0.0000
2.2777 0.0000 0.0000
```

Output
Calculated formation energy in meV per atom: 2812
Symmetry: No. 123

Record 3
First-principles (meta-GGA SCAN) data for KLaN3 at its PBEsol-relaxed geometry, as listed in Alexandria via LeMat-Bulk.

The structure in POSCAR format:
```
KLaN3
1.0
4.7691 0.0000 0.0000
0.0000 4.7691 0.0000
0.0000 0.0000 4.7691
K La N
1 1 3
Cartesian
0.0000 0.0000 0.0000
2.3845 2.3845 2.3845
0.0000 2.3845 2.3845
2.3845 0.0000 2.3845
2.3845 2.3845 0.0000
```

Output
Formation energy (no corrections) in meV/atom: 680
Symmetry: No. 221

Record 4
First-principles (meta-GGA SCAN) data for KLaN2O at its PBEsol-relaxed geometry, as listed in Alexandria via LeMat-Bulk.

The structure in POSCAR format:
```
KLaN2O
1.0
4.1009 0.0000 0.0000
0.0000 4.1009 0.0000
0.0000 0.0000 4.4432
K La N O
1 1 2 1
Cartesian
0.0000 0.0000 0.0000
2.0504 2.0504 2.2216
0.0000 2.0504 0.0000
2.0504 0.0000 0.0000
0.0000 0.0000 2.2216
```

Output
Formation energy (no corrections) in meV/atom: 729
Symmetry: No. 123

Record 5
First-principles (meta-GGA SCAN) data for KNaLa2 at its PBEsol-relaxed geometry, as listed in Alexandria via LeMat-Bulk.

The structure in POSCAR format:
```
KNaLa2
1.0
0.0000 4.2632 4.2632
4.2632 0.0000 4.2632
4.2632 4.2632 0.0000
K Na La
1 1 2
Cartesian
0.0000 0.0000 0.0000
4.2632 4.2632 4.2632
2.1316 2.1316 2.1316
6.3948 6.3948 6.3948
```

Output
Calculated formation energy in meV per atom: 529
Symmetry: No. 225

Record 6
First-principles (meta-GGA SCAN) data for KNa2LaNb at its PBEsol-relaxed geometry, as listed in Alexandria via LeMat-Bulk.

The structure in POSCAR format:
```
KNa2LaNb
1.0
5.9318 0.0000 0.0000
0.0000 5.9318 0.0000
0.0000 0.0000 6.0491
K Na La Nb
1 2 1 1
Cartesian
0.0000 0.0000 0.0000
0.0000 2.9659 3.0246
2.9659 0.0000 3.0246
0.0000 0.0000 3.0246
2.9659 2.9659 0.0000
```

Output
Calculated formation energy in meV per atom: 1752
Symmetry: No. 123

Record 7
First-principles (meta-GGA SCAN) data for KNaLaNbO5 at its PBEsol-relaxed geometry, as listed in Alexandria via LeMat-Bulk.

The structure in POSCAR format:
```
KNaLaNbO5
1.0
5.7726 0.0000 0.0000
0.0000 5.7726 0.0000
0.0000 0.0000 8.3029
K Na La Nb O
2 2 2 2 10
Cartesian
1.4431 4.3294 0.0000
4.3294 1.4431 0.0000
1.4431 1.4431 2.0103
4.3294 4.3294 6.2926
1.4431 4.3294 4.1515
4.3294 1.4431 4.1515
1.4431 1.4431 6.1883
4.3294 4.3294 2.1146
0.1138 0.1138 5.5866
0.1138 2.7725 5.5866
1.4431 1.4431 8.0458
2.7725 0.1138 5.5866
2.7725 2.7725 5.5866
3.0000 3.0000 2.7163
3.0000 5.6588 2.7163
4.3294 4.3294 0.2571
5.6588 3.0000 2.7163
5.6588 5.6588 2.7163
```

Output
Formation energy (no corrections) in meV/atom: -2894
Symmetry: No. 129

Record 8
First-principles (meta-GGA SCAN) data for KLa3Nb at its PBEsol-relaxed geometry, as listed in Alexandria via LeMat-Bulk.

The structure in POSCAR format:
```
KLa3Nb
1.0
5.3729 0.0000 0.0000
0.0000 5.3729 0.0000
0.0000 0.0000 5.3729
K La Nb
1 3 1
Cartesian
0.0000 0.0000 0.0000
0.0000 0.0000 2.6865
0.0000 2.6865 0.0000
2.6865 0.0000 0.0000
2.6865 2.6865 2.6865
```

Output
Calculated formation energy in meV per atom: 1479
Symmetry: No. 221

Record 9
First-principles (meta-GGA SCAN) data for K2LaNbS at its PBEsol-relaxed geometry, as listed in Alexandria via LeMat-Bulk.

The structure in POSCAR format:
```
K2LaNbS
1.0
7.2162 0.0000 0.0000
0.0000 7.2162 0.0000
0.0000 0.0000 5.1517
K La Nb S
2 1 1 1
Cartesian
0.0000 3.6081 0.0000
3.6081 0.0000 0.0000
0.0000 0.0000 0.0000
3.6081 3.6081 2.5759
0.0000 0.0000 2.5759
```

Output
Formation energy (no corrections) in meV/atom: 781
Symmetry: No. 123

Record 10
First-principles (meta-GGA SCAN) data for K2LaNi at its PBEsol-relaxed geometry, as listed in Alexandria via LeMat-Bulk.

The structure in POSCAR format:
```
K2LaNi
1.0
2.9373 -3.2587 0.0000
2.9373 3.2587 0.0000
0.0000 0.0000 6.5580
K La Ni
2 1 1
Cartesian
2.9373 1.8184 0.0000
2.9373 -1.8184 0.0000
2.9373 0.0000 3.2790
0.0000 0.0000 3.2790
```

Output
Calculated formation energy in meV per atom: 592
Symmetry: No. 65

Record 11
First-principles (meta-GGA SCAN) data for KLaNi at its PBEsol-relaxed geometry, as listed in Alexandria via LeMat-Bulk.

The structure in POSCAR format:
```
KLaNi
1.0
3.9419 0.0000 0.0000
-1.9710 3.4138 0.0000
0.0000 0.0000 7.5560
K La Ni
1 1 1
Cartesian
0.0000 0.0000 0.0000
0.0000 2.2759 3.6903
1.9710 1.1379 2.3164
```

Output
Calculated formation energy in meV per atom: 229
Symmetry: No. 156

Record 12
First-principles (meta-GGA SCAN) data for KLaNi3 at its PBEsol-relaxed geometry, as listed in Alexandria via LeMat-Bulk.

The structure in POSCAR format:
```
KLaNi3
1.0
4.9261 0.0000 0.0000
0.0000 4.9261 0.0000
0.0000 0.0000 4.9261
K La Ni
1 1 3
Cartesian
0.0000 0.0000 0.0000
2.4631 2.4631 2.4631
0.0000 2.4631 2.4631
2.4631 0.0000 2.4631
2.4631 2.4631 0.0000
```

Output
Calculated formation energy in meV per atom: 1185
Symmetry: No. 221

Record 13
First-principles (meta-GGA SCAN) data for KLaNiSn2 at its PBEsol-relaxed geometry, as listed in Alexandria via LeMat-Bulk.

The structure in POSCAR format:
```
KLaNiSn2
1.0
6.0937 0.0000 0.0000
0.0000 6.0937 0.0000
0.0000 0.0000 4.7905
K La Ni Sn
1 1 1 2
Cartesian
0.0000 0.0000 0.0000
3.0469 3.0469 2.3953
3.0469 3.0469 0.0000
0.0000 3.0469 2.3953
3.0469 0.0000 2.3953
```

Output
Calculated formation energy in meV per atom: 514
Symmetry: No. 123